[1]
Here is an optimized crystal structure of NdScH2 from the Alexandria database. Energies are from PBE.

Computed properties:
- Crystal system: trigonal
- Energy above the most stable polymorph in this dataset: 0.0 kJ per mole of atoms
- Space group: R-3m, No. 166

CIF file:
```
data_NdScH2
_chemical_formula_sum 'Nd1 Sc1 H2'
_symmetry_space_group_name_H-M 'P 1'
_symmetry_Int_Tables_number 1
_cell_length_a 3.4155
_cell_length_b 3.4155
_cell_length_c 5.9445
_cell_angle_alpha 73.30
_cell_angle_beta 73.30
_cell_angle_gamma 60.00
loop_
_symmetry_equiv_pos_as_xyz
'x,y,z'
loop_
_atom_site_label
_atom_site_type_symbol
_atom_site_fract_x
_atom_site_fract_y
_atom_site_fract_z
_atom_site_occupancy
Nd1 Nd 0.5000 0.5000 0.5000 1
H1 H 0.2672 0.2672 0.1983 1
H2 H 0.7328 0.7328 0.8017 1
Sc1 Sc 0.0000 0.0000 0.0000 1
```

***

[2]
Here is an optimized crystal structure of HgSeBr2 from the Alexandria database. Energies are from PBE.

Computed properties:
- Crystal system: cubic
- Energy above the most stable polymorph in this dataset: 58.4 kJ per mole of atoms
- Space group: Fm-3m, No. 225
- ΔE_f (raw): 0.43 eV per atom

CIF file:
```
data_HgSeBr2
_chemical_formula_sum 'Hg1 Se1 Br2'
_symmetry_space_group_name_H-M 'P 1'
_symmetry_Int_Tables_number 1
_cell_length_a 5.3194
_cell_length_b 5.3194
_cell_length_c 5.3194
_cell_angle_alpha 60.00
_cell_angle_beta 60.00
_cell_angle_gamma 60.00
loop_
_symmetry_equiv_pos_as_xyz
'x,y,z'
loop_
_atom_site_label
_atom_site_type_symbol
_atom_site_fract_x
_atom_site_fract_y
_atom_site_fract_z
_atom_site_occupancy
Se1 Se 0.0000 0.0000 0.0000 1
Hg1 Hg 0.5000 0.5000 0.5000 1
Br1 Br 0.7500 0.7500 0.7500 1
Br2 Br 0.2500 0.2500 0.2500 1
```

***

[3]
Here is an optimized crystal structure of SrCaLaIn from the Alexandria database. Energies are from PBE.

Computed properties:
- Crystal system: cubic
- ΔE_f: -16.03 kJ per mole of atoms
- Space group: F-43m, No. 216

CIF file:
```
data_SrCaLaIn
_chemical_formula_sum 'Sr1 Ca1 La1 In1'
_symmetry_space_group_name_H-M 'P 1'
_symmetry_Int_Tables_number 1
_cell_length_a 5.8498
_cell_length_b 5.8498
_cell_length_c 5.8498
_cell_angle_alpha 60.00
_cell_angle_beta 60.00
_cell_angle_gamma 60.00
loop_
_symmetry_equiv_pos_as_xyz
'x,y,z'
loop_
_atom_site_label
_atom_site_type_symbol
_atom_site_fract_x
_atom_site_fract_y
_atom_site_fract_z
_atom_site_occupancy
La1 La 0.2500 0.2500 0.2500 1
Ca1 Ca 0.5000 0.5000 0.5000 1
Sr1 Sr 0.7500 0.7500 0.7500 1
In1 In 0.0000 0.0000 0.0000 1
```

***

[4]
Here is an optimized crystal structure of Ho8CuRh2 from the Alexandria database. Energies are from PBE.

Computed properties:
- Crystal system: monoclinic
- ΔE_f: -28.58 kJ per mole of atoms
- Space group: Cm, No. 8

CIF file:
```
data_Ho8CuRh2
_chemical_formula_sum 'Ho8 Cu1 Rh2'
_symmetry_space_group_name_H-M 'P 1'
_symmetry_Int_Tables_number 1
_cell_length_a 5.9351
_cell_length_b 7.4978
_cell_length_c 7.4978
_cell_angle_alpha 112.56
_cell_angle_beta 99.74
_cell_angle_gamma 99.74
loop_
_symmetry_equiv_pos_as_xyz
'x,y,z'
loop_
_atom_site_label
_atom_site_type_symbol
_atom_site_fract_x
_atom_site_fract_y
_atom_site_fract_z
_atom_site_occupancy
Ho1 Ho 0.9875 0.7795 0.2202 1
Ho2 Ho 0.3761 0.6634 0.9271 1
Ho3 Ho 0.8016 0.6400 0.6400 1
Ho4 Ho 0.5851 0.3436 0.0812 1
Ho5 Ho 0.5851 0.0812 0.3436 1
Ho6 Ho 0.1721 0.3667 0.3667 1
Ho7 Ho 0.9875 0.2202 0.7795 1
Ho8 Ho 0.3761 0.9271 0.6634 1
Rh1 Rh 0.4851 0.3174 0.6919 1
Rh2 Rh 0.4851 0.6919 0.3174 1
Cu1 Cu 0.1585 0.0029 0.0029 1
```

***

[5]
Here is an optimized crystal structure of Ba2SrUO6 from the Alexandria database. Energies are from PBE.

Computed properties:
- Crystal system: monoclinic
- Energy above the most stable polymorph in this dataset: 0.0 kJ per mole of atoms
- Space group: P2_1/c, No. 14
- ΔE_f (raw): -3.09 eV per atom

CIF file:
```
data_Ba2SrUO6
_chemical_formula_sum 'Ba4 Sr2 U2 O12'
_symmetry_space_group_name_H-M 'P 1'
_symmetry_Int_Tables_number 1
_cell_length_a 6.3692
_cell_length_b 6.2978
_cell_length_c 10.9058
_cell_angle_alpha 54.96
_cell_angle_beta 90.00
_cell_angle_gamma 90.00
loop_
_symmetry_equiv_pos_as_xyz
'x,y,z'
loop_
_atom_site_label
_atom_site_type_symbol
_atom_site_fract_x
_atom_site_fract_y
_atom_site_fract_z
_atom_site_occupancy
O1 O 0.2355 0.1357 0.0530 1
O2 O 0.1908 0.7771 0.4578 1
O3 O 0.3092 0.7771 0.9578 1
O4 O 0.4684 0.3142 0.7738 1
O5 O 0.7355 0.8643 0.4470 1
O6 O 0.2645 0.1357 0.5530 1
O7 O 0.7645 0.8643 0.9470 1
O8 O 0.6908 0.2229 0.0422 1
O9 O 0.8092 0.2229 0.5422 1
O10 O 0.9684 0.6858 0.7262 1
O11 O 0.5316 0.6858 0.2262 1
O12 O 0.0316 0.3142 0.2738 1
Ba1 Ba 0.5350 0.7577 0.7515 1
Ba2 Ba 0.9650 0.7577 0.2515 1
Ba3 Ba 0.0350 0.2423 0.7485 1
Ba4 Ba 0.4650 0.2423 0.2485 1
Sr1 Sr 0.0000 0.5000 0.0000 1
Sr2 Sr 0.5000 0.5000 0.5000 1
U1 U 0.0000 0.0000 0.5000 1
U2 U 0.5000 0.0000 0.0000 1
```

***

[6]
Here is an optimized crystal structure of ZrGa2W from the Alexandria database. Energies are from PBE.

Computed properties:
- Crystal system: cubic
- Energy above the most stable polymorph in this dataset: 0.0 kJ per mole of atoms
- ΔE_f: 1.27 kJ per mole of atoms
- Space group: Fm-3m, No. 225

CIF file:
```
data_ZrGa2W
_chemical_formula_sum 'Zr1 Ga2 W1'
_symmetry_space_group_name_H-M 'P 1'
_symmetry_Int_Tables_number 1
_cell_length_a 4.5754
_cell_length_b 4.5754
_cell_length_c 4.5754
_cell_angle_alpha 60.00
_cell_angle_beta 60.00
_cell_angle_gamma 60.00
loop_
_symmetry_equiv_pos_as_xyz
'x,y,z'
loop_
_atom_site_label
_atom_site_type_symbol
_atom_site_fract_x
_atom_site_fract_y
_atom_site_fract_z
_atom_site_occupancy
Ga1 Ga 0.2500 0.2500 0.2500 1
Ga2 Ga 0.7500 0.7500 0.7500 1
W1 W 0.5000 0.5000 0.5000 1
Zr1 Zr 0.0000 0.0000 0.0000 1
```

***

no.,calculated total energy (eV per atom),M_tot (μB per atom)
1,-4.786,0.000
2,-1.355,0.513
3,-3.003,0.000
4,-5.335,0.000
5,-7.746,0.000
6,-6.876,0.000